No. 1
# Ho3Ni4

A geometry-optimized Ho3Ni4 structure (PBE, the Alexandria database).

Cell lengths 5.2404, 5.2404, 12.9513 Å; angles 90.00, 90.00, 134.59 degrees
Element x y z (fractional)
Ho: 0.0057 0.9943 0.7500
Ho: 0.2886 0.7114 0.6018
Ho: 0.2886 0.7114 0.8982
Ho: 0.7114 0.2886 0.1018
Ho: 0.7114 0.2886 0.3982
Ho: 0.9943 0.0057 0.2500
Ni: 0.0000 0.0000 0.0000
Ni: 0.0000 0.0000 0.5000
Ni: 0.2872 0.7128 0.2500
Ni: 0.4250 0.5750 0.0877
Ni: 0.4250 0.5750 0.4123
Ni: 0.5750 0.4250 0.5877
Ni: 0.5750 0.4250 0.9123
Ni: 0.7128 0.2872 0.7500

Formation enthalpy at 0 K (eV per atom): -0.4552

=====

No. 2
# SnHgO3

A geometry-optimized SnHgO3 structure (PBE, the Alexandria database).

Cell lengths 5.7672, 5.7672, 5.7672 Å; angles 58.93, 58.93, 58.93 degrees
Element x y z (fractional)
Sn: 0.0000 0.0000 0.0000
Sn: 0.5000 0.5000 0.5000
Hg: 0.2500 0.2500 0.2500
Hg: 0.7500 0.7500 0.7500
O: 0.1465 0.7500 0.3535
O: 0.2500 0.6465 0.8535
O: 0.3535 0.1465 0.7500
O: 0.6465 0.8535 0.2500
O: 0.7500 0.3535 0.1465
O: 0.8535 0.2500 0.6465

Energy (Ry per atom): -0.35809

=====

No. 3
# CsRbTl3Cd

A geometry-optimized CsRbTl3Cd structure (PBE, the Alexandria database).

Cell lengths 11.0687, 11.0687, 5.9130 Å; angles 90.02, 90.02, 140.62 degrees
Element x y z (fractional)
Cs: 0.0549 0.9451 0.7500
Cs: 0.9451 0.0549 0.2500
Rb: 0.3415 0.6585 0.2500
Rb: 0.6585 0.3415 0.7500
Tl: 0.0407 0.3772 0.7486
Tl: 0.3772 0.0407 0.2486
Tl: 0.4610 0.5390 0.7500
Tl: 0.5390 0.4610 0.2500
Tl: 0.6228 0.9593 0.7514
Tl: 0.9593 0.6228 0.2514
Cd: 0.2285 0.7715 0.7500
Cd: 0.7715 0.2285 0.2500

Formation enthalpy at 0 K (eV per atom): -0.0491

=====

No. 4
# Rb3ReS

A geometry-optimized Rb3ReS structure (PBE, the Alexandria database).

Cell lengths 6.3635, 6.3635, 6.3635 Å; angles 90.00, 90.00, 90.00 degrees
Element x y z (fractional)
Rb: 0.0000 0.0000 0.5000
Rb: 0.0000 0.5000 0.0000
Rb: 0.5000 0.0000 0.0000
Re: 0.5000 0.5000 0.5000
S: 0.0000 0.0000 0.0000

Excess energy over the best structure of this formula in the dataset (meV per atom): 0